[1]
Entry from Alexandria via LeMat-Bulk: a relaxed CoC3N crystal (PBE-GGA).

POSCAR file:
```
CoC3N
1.0
3.639 0.000 0.000
0.000 3.639 0.000
0.000 0.000 3.639
Co C N
1 3 1
direct
0.000 0.000 0.000
0.000 0.000 0.500
0.000 0.500 0.000
0.500 0.000 0.000
0.500 0.500 0.500
```

Summary:
- Excess energy over the best structure of this formula in the dataset: 0 meV per atom
- Formation energy (no corrections): 2.9690 eV/atom

[2]
Entry from Alexandria via LeMat-Bulk: a relaxed CoC2N crystal (PBE-GGA).

POSCAR file:
```
CoC2N
1.0
4.207 0.000 0.000
0.000 4.207 0.000
0.000 0.000 6.593
Co C N
4 8 4
direct
0.000 0.000 0.000
0.000 0.500 0.250
0.500 0.000 0.750
0.500 0.500 0.500
0.182 0.250 0.625
0.250 0.682 0.875
0.250 0.818 0.375
0.318 0.250 0.125
0.682 0.750 0.125
0.750 0.182 0.375
0.750 0.318 0.875
0.818 0.750 0.625
0.000 0.000 0.500
0.000 0.500 0.750
0.500 0.000 0.250
0.500 0.500 0.000
```

Summary:
- Formation energy (no corrections): 0.9927 eV/atom

[3]
Entry from Alexandria via LeMat-Bulk: a relaxed CoCN3 crystal (PBE-GGA).

POSCAR file:
```
CoCN3
1.0
3.261 0.000 0.000
0.000 3.261 0.000
0.000 0.000 3.261
Co C N
1 1 3
direct
0.000 0.000 0.000
0.500 0.500 0.500
0.000 0.500 0.500
0.500 0.000 0.500
0.500 0.500 0.000
```

Summary:
- Formation energy (no corrections): 2.3767 eV/atom

[4]
Entry from Alexandria via LeMat-Bulk: a relaxed CoC4N6 crystal (PBE-GGA).

POSCAR file:
```
CoC4N6
1.0
6.620 0.000 0.000
0.000 6.896 0.000
0.000 0.000 7.363
Co C N
2 8 12
direct
0.000 0.000 0.000
0.500 0.500 0.500
0.210 0.192 0.346
0.210 0.192 0.654
0.290 0.692 0.154
0.290 0.692 0.846
0.710 0.308 0.154
0.710 0.308 0.846
0.790 0.808 0.346
0.790 0.808 0.654
0.156 0.136 0.204
0.156 0.136 0.796
0.221 0.763 0.000
0.279 0.263 0.500
0.344 0.636 0.296
0.344 0.636 0.704
0.656 0.364 0.296
0.656 0.364 0.704
0.721 0.737 0.500
0.779 0.237 0.000
0.844 0.864 0.204
0.844 0.864 0.796
```

Summary:
- Formation energy (no corrections): 0.3955 eV/atom

[5]
Entry from Alexandria via LeMat-Bulk: a relaxed CoC3N crystal (PBE-GGA).

POSCAR file:
```
CoC3N
1.0
3.350 0.000 0.000
0.000 3.350 0.000
0.000 0.000 3.350
Co C N
1 3 1
direct
0.000 0.000 0.000
0.000 0.500 0.500
0.500 0.000 0.500
0.500 0.500 0.000
0.500 0.500 0.500
```

Summary:
- Excess energy over the best structure of this formula in the dataset: 130 meV per atom
- Formation energy (no corrections): 3.0990 eV/atom

[6]
Entry from Alexandria via LeMat-Bulk: a relaxed CoC2N2 crystal (PBE-GGA).

POSCAR file:
```
CoC2N2
1.0
5.767 0.000 0.000
0.000 5.767 0.000
0.000 0.000 5.767
Co C N
2 4 4
direct
0.000 0.000 0.000
0.500 0.500 0.500
0.191 0.191 0.191
0.191 0.809 0.809
0.809 0.191 0.809
0.809 0.809 0.191
0.309 0.309 0.309
0.309 0.691 0.691
0.691 0.309 0.691
0.691 0.691 0.309
```

Summary:
- Excess energy over the best structure of this formula in the dataset: 88 meV per atom
- Formation energy (no corrections): 0.4789 eV/atom

[7]
Entry from Alexandria via LeMat-Bulk: a relaxed CoC8N6 crystal (PBE-GGA).

POSCAR file:
```
CoC8N6
1.0
6.992 0.000 0.000
0.000 5.368 0.000
0.000 0.000 10.691
Co C N
2 16 12
direct
0.000 0.000 0.000
0.500 0.000 0.500
0.000 0.399 0.260
0.000 0.404 0.652
0.000 0.596 0.348
0.000 0.601 0.740
0.169 0.296 0.609
0.169 0.704 0.391
0.331 0.296 0.891
0.331 0.704 0.109
0.500 0.399 0.240
0.500 0.404 0.848
0.500 0.596 0.152
0.500 0.601 0.760
0.669 0.296 0.891
0.669 0.704 0.109
0.831 0.296 0.609
0.831 0.704 0.391
0.000 0.238 0.186
0.000 0.762 0.814
0.195 0.198 0.933
0.195 0.802 0.067
0.305 0.198 0.567
0.305 0.802 0.433
0.500 0.238 0.314
0.500 0.762 0.686
0.695 0.198 0.567
0.695 0.802 0.433
0.805 0.198 0.933
0.805 0.802 0.067
```

Summary:
- Formation energy (no corrections): 0.4726 eV/atom

[8]
Entry from Alexandria via LeMat-Bulk: a relaxed CoC6N6 crystal (PBE-GGA).

POSCAR file:
```
CoC6N6
1.0
5.989 0.000 0.000
-2.994 5.187 0.000
0.000 0.000 6.921
Co C N
1 6 6
direct
0.000 0.000 0.000
0.000 0.255 0.844
0.000 0.745 0.156
0.255 0.000 0.844
0.255 0.255 0.156
0.745 0.000 0.156
0.745 0.745 0.844
0.000 0.419 0.747
0.000 0.581 0.253
0.419 0.000 0.747
0.419 0.419 0.253
0.581 0.000 0.253
0.581 0.581 0.747
```

Summary:
- Formation energy (no corrections): 1.1933 eV/atom

[9]
Entry from Alexandria via LeMat-Bulk: a relaxed CoCN3 crystal (PBE-GGA).

POSCAR file:
```
CoCN3
1.0
3.596 0.000 0.000
0.000 3.596 0.000
0.000 0.000 3.596
Co C N
1 1 3
direct
0.000 0.000 0.000
0.500 0.500 0.500
0.000 0.000 0.500
0.000 0.500 0.000
0.500 0.000 0.000
```

Summary:
- Formation energy (no corrections): 2.8771 eV/atom

[10]
Entry from Alexandria via LeMat-Bulk: a relaxed CoC2N2 crystal (PBE-GGA).

POSCAR file:
```
CoC2N2
1.0
3.417 -3.463 0.000
3.417 3.463 0.000
0.000 0.000 13.968
Co C N
4 8 8
direct
0.020 0.980 0.895
0.480 0.520 0.395
0.520 0.480 0.605
0.980 0.020 0.105
0.015 0.355 0.891
0.145 0.485 0.609
0.355 0.015 0.109
0.485 0.145 0.391
0.515 0.855 0.609
0.645 0.985 0.891
0.855 0.515 0.391
0.985 0.645 0.109
0.014 0.596 0.889
0.096 0.514 0.389
0.404 0.986 0.889
0.486 0.904 0.389
0.514 0.096 0.611
0.596 0.014 0.111
0.904 0.486 0.611
0.986 0.404 0.111
```

Summary:
- Excess energy over the best structure of this formula in the dataset: 0 meV per atom
- Formation energy (no corrections): 0.3910 eV/atom

[11]
Entry from Alexandria via LeMat-Bulk: a relaxed Rb2NaCoC6N6 crystal (PBE-GGA).

POSCAR file:
```
Rb2NaCoC6N6
1.0
7.339 0.000 0.000
0.000 7.726 0.000
-7.252 0.000 10.613
Rb Na Co C N
4 2 2 12 12
direct
0.229 0.066 0.249
0.229 0.434 0.749
0.771 0.566 0.251
0.771 0.934 0.751
0.000 0.000 0.500
0.000 0.500 0.000
0.500 0.000 0.000
0.500 0.500 0.500
0.261 0.134 0.969
0.261 0.366 0.469
0.330 0.701 0.462
0.330 0.799 0.962
0.399 0.019 0.830
0.399 0.481 0.330
0.601 0.519 0.670
0.601 0.981 0.170
0.670 0.201 0.038
0.670 0.299 0.538
0.739 0.634 0.531
0.739 0.866 0.031
0.110 0.218 0.948
0.110 0.282 0.448
0.221 0.674 0.937
0.221 0.826 0.437
0.335 0.034 0.724
0.335 0.466 0.224
0.665 0.534 0.776
0.665 0.966 0.276
0.779 0.174 0.563
0.779 0.326 0.063
0.890 0.718 0.552
0.890 0.782 0.052
```

Summary:
- Formation energy (no corrections): -0.1517 eV/atom

[12]
Entry from Alexandria via LeMat-Bulk: a relaxed Nd3CoC2N6 crystal (PBE-GGA).

POSCAR file:
```
Nd3CoC2N6
1.0
5.330 0.000 0.000
-2.665 4.616 0.000
0.000 0.000 6.341
Nd Co C N
3 1 2 6
direct
0.000 0.000 0.000
0.333 0.667 0.662
0.667 0.333 0.338
0.000 0.000 0.500
0.333 0.667 0.263
0.667 0.333 0.737
0.185 0.370 0.274
0.185 0.815 0.274
0.370 0.185 0.726
0.630 0.815 0.274
0.815 0.185 0.726
0.815 0.630 0.726
```

Summary:
- Formation energy (no corrections): -0.5349 eV/atom

Number 1: energy -5.652 eV/atom. Number 2: energy -7.477 eV/atom. Number 3: energy -5.884 eV/atom. Number 4: energy -8.146 eV/atom. Number 5: energy -5.522 eV/atom. Number 6: energy -7.962 eV/atom. Number 7: energy -8.251 eV/atom. Number 8: energy -7.453 eV/atom. Number 9: energy -5.384 eV/atom. Number 10: energy -8.050 eV/atom. Number 11: energy -7.380 eV/atom. Number 12: energy -8.019 eV/atom.